[1]
Entry from Alexandria via LeMat-Bulk: a relaxed structure of La2Si3Ir (PBE).

extended XYZ file:
```
12
Lattice="6.019 0.254 0.000 0.020 6.025 0.000 -3.020 -3.139 7.192" Properties=species:S:1:pos:R:3 pbc="T T T"
La 4.509 4.687 0.000
Ir 0.000 0.000 4.800
Si 4.526 1.690 1.202
Si 3.020 3.139 4.791
La 3.010 0.127 3.596
La 0.010 3.012 3.596
Si 1.506 -1.449 5.990
Ir 3.020 3.139 2.392
La 1.531 1.592 0.000
Si 0.000 0.000 2.401
Si 1.513 4.588 1.202
Si -1.506 1.449 5.990
```

Calculated values
VASP energy: -6.7433 eV/atom
E_form (uncorrected): -912 meV/atom
SG: Fmmm
total magnetic moment: 0.00 μB/cell

[2]
Entry from Alexandria via LeMat-Bulk: a relaxed structure of Na2RuCl7 (PBE).

extended XYZ file:
```
20
Lattice="2.602 2.318 6.458 1.091 -7.616 6.463 9.063 0.647 0.285" Properties=species:S:1:pos:R:3 pbc="T T T"
Ru 9.529 0.772 7.931
Cl 10.446 -4.841 7.096
Na 3.487 -1.956 7.545
Cl 8.664 0.001 5.784
Cl 5.552 -4.928 4.931
Na 4.135 0.740 2.147
Cl 7.577 -6.968 7.116
Ru 3.227 -5.422 5.275
Cl 8.960 -1.350 2.828
Cl 9.838 -1.539 8.426
Na 8.620 -5.390 11.059
Cl 2.310 0.190 6.110
Cl 6.293 -0.495 3.595
Cl 5.179 2.317 6.090
Cl 3.796 -3.301 10.378
Cl 4.092 -4.652 7.422
Na 9.269 -2.694 5.661
Cl 7.204 0.278 8.275
Cl 6.462 -4.156 9.611
Cl 2.918 -3.111 4.780
```

Calculated values
VASP energy: -3.2727 eV/atom
E_form (uncorrected): -789 meV/atom
SG: C2/c
total magnetic moment: 1.84 μB/cell

[3]
Entry from Alexandria via LeMat-Bulk: a relaxed structure of Er6Bi2SbSe3 (PBE).

extended XYZ file:
```
12
Lattice="-2.098 3.384 1.433 0.528 -3.011 7.882 8.693 3.407 -1.563" Properties=species:S:1:pos:R:3 pbc="T T T"
Er 6.654 5.974 1.884
Er 1.726 1.537 5.146
Er 0.469 -2.195 5.869
Se -0.785 0.186 4.658
Sb -1.049 1.692 0.717
Bi 4.392 3.084 5.395
Se 4.122 4.585 1.456
Se 3.001 -0.806 6.296
Er 5.397 2.243 2.607
Er 5.556 0.580 6.764
Bi 2.731 0.695 2.358
Er 1.567 3.199 0.988
```

Calculated values
VASP energy: -5.4271 eV/atom
E_form (uncorrected): -1284 meV/atom
SG: C2/m
total magnetic moment: 0.00 μB/cell

Question: Which of these has the highest total magnetic moment?
Answer: Na2RuCl7